[1]
{"formula": "Sm8TcPb2", "functional": "PBE", "state": "optimized geometry", "lattice_angstrom": [[8.8249, -2.8503, 0.0000], [8.8249, 2.8503, 0.0000], [-2.8477, 0.0000, 6.5026]], "species": ["Sm", "Sm", "Sm", "Sm", "Sm", "Sm", "Sm", "Sm", "Tc", "Pb", "Pb"], "frac_coords": [[0.9998, 0.9998, 0.2433], [0.0002, 0.0002, 0.7567], [0.1929, 0.1929, 0.1943], [0.3754, 0.3754, 0.1369], [0.3764, 0.3764, 0.6128], [0.6236, 0.6236, 0.3872], [0.6246, 0.6246, 0.8631], [0.8071, 0.8071, 0.8057], [0.5000, 0.5000, 0.0000], [0.1867, 0.1867, 0.6870], [0.8133, 0.8133, 0.3130]], "volume_a3_per_atom": 29.7, "delta_e_f_ev_per_atom": -0.206}

***

[2]
{"formula": "Sm3Te6Pb", "functional": "PBE", "state": "optimized geometry", "lattice_angstrom": [[12.9743, 0.0000, 0.0000], [0.0000, 4.4413, 0.0000], [-4.3163, 0.0000, 12.3973]], "species": ["Sm", "Sm", "Sm", "Sm", "Sm", "Sm", "Te", "Te", "Te", "Te", "Te", "Te", "Te", "Te", "Te", "Te", "Te", "Te", "Pb", "Pb"], "frac_coords": [[0.0607, 0.2500, 0.1641], [0.1755, 0.7500, 0.4951], [0.3484, 0.2500, 0.9221], [0.6516, 0.7500, 0.0779], [0.8245, 0.2500, 0.5049], [0.9393, 0.7500, 0.8359], [0.0089, 0.2500, 0.3796], [0.1136, 0.2500, 0.9450], [0.2293, 0.7500, 0.2720], [0.2956, 0.7500, 0.7453], [0.3690, 0.2500, 0.5184], [0.4177, 0.7500, 0.0973], [0.5823, 0.2500, 0.9027], [0.6310, 0.7500, 0.4816], [0.7044, 0.2500, 0.2547], [0.7707, 0.2500, 0.7280], [0.8864, 0.7500, 0.0550], [0.9911, 0.7500, 0.6204], [0.4871, 0.2500, 0.3211], [0.5129, 0.7500, 0.6789]], "e_form_raw_ev_per_atom": -1.070, "volume_a3_per_atom": 35.7}

***

[3]
{"formula": "Sm7Te2Pb2", "functional": "PBE", "state": "optimized geometry", "lattice_angstrom": [[4.5520, -5.6671, 0.0000], [4.5520, 5.6671, 0.0000], [0.0000, 0.0000, 7.1696]], "species": ["Sm", "Sm", "Sm", "Sm", "Sm", "Sm", "Sm", "Te", "Te", "Pb", "Pb"], "frac_coords": [[0.0000, 0.0000, 0.0000], [0.0000, 0.5000, 0.2736], [0.0000, 0.5000, 0.7264], [0.5000, 0.0000, 0.2736], [0.5000, 0.0000, 0.7264], [0.5000, 0.5000, 0.2582], [0.5000, 0.5000, 0.7418], [0.2756, 0.7244, 0.0000], [0.7244, 0.2756, 0.0000], [0.1830, 0.1830, 0.5000], [0.8170, 0.8170, 0.5000]], "e_form_raw_ev_per_atom": -0.449, "volume_a3_per_atom": 33.6}

***

[4]
{"formula": "SmTe2Pb", "functional": "PBE", "state": "optimized geometry", "lattice_angstrom": [[2.1451, 1.2385, 10.0608], [-2.1451, 1.2385, 10.0608], [0.0000, -2.4770, 10.0608]], "species": ["Sm", "Te", "Te", "Pb"], "frac_coords": [[0.0000, 0.0000, 0.0000], [0.3954, 0.3954, 0.3954], [0.6046, 0.6046, 0.6046], [0.5000, 0.5000, 0.5000]], "e_form_raw_ev_per_atom": -0.753, "volume_a3_per_atom": 40.1}

***

[5]
{"formula": "Sm6TePb2", "functional": "PBE", "state": "optimized geometry", "lattice_angstrom": [[8.5916, 0.0000, 0.0000], [-4.2958, 7.4406, 0.0000], [0.0000, 0.0000, 4.3724]], "species": ["Sm", "Sm", "Sm", "Sm", "Sm", "Sm", "Te", "Pb", "Pb"], "frac_coords": [[0.0000, 0.2648, 0.0000], [0.0000, 0.5984, 0.5000], [0.2648, 0.0000, 0.0000], [0.4016, 0.4016, 0.5000], [0.5984, 0.0000, 0.5000], [0.7352, 0.7352, 0.0000], [0.0000, 0.0000, 0.5000], [0.3333, 0.6667, 0.0000], [0.6667, 0.3333, 0.0000]], "e_form_raw_ev_per_atom": -0.575, "volume_a3_per_atom": 31.1}

***

[6]
{"formula": "Sm4Te4Pb", "functional": "PBE", "state": "optimized geometry", "lattice_angstrom": [[7.4743, -2.2237, 0.0000], [7.4743, 2.2237, 0.0000], [-5.5506, 0.0000, 9.5350]], "species": ["Sm", "Sm", "Sm", "Sm", "Te", "Te", "Te", "Te", "Pb"], "frac_coords": [[0.0972, 0.0972, 0.3978], [0.2999, 0.2999, 0.1970], [0.7001, 0.7001, 0.8030], [0.9028, 0.9028, 0.6022], [0.1026, 0.1026, 0.9002], [0.3025, 0.3025, 0.7016], [0.6975, 0.6975, 0.2984], [0.8974, 0.8974, 0.0998], [0.5000, 0.5000, 0.5000]], "e_form_raw_ev_per_atom": -1.249, "volume_a3_per_atom": 35.2}

***

[7]
{"formula": "SmTePb", "functional": "PBE", "state": "optimized geometry", "lattice_angstrom": [[-2.1885, 2.1885, 9.6860], [2.1885, -2.1885, 9.6860], [2.1885, 2.1885, -9.6860]], "species": ["Sm", "Sm", "Te", "Te", "Pb", "Pb"], "frac_coords": [[0.1449, 0.1449, 0.0000], [0.8551, 0.8551, 0.0000], [0.3126, 0.3126, 0.0000], [0.6874, 0.6874, 0.0000], [0.0000, 0.5000, 0.5000], [0.5000, 0.0000, 0.5000]], "e_form_raw_ev_per_atom": -0.888, "volume_a3_per_atom": 30.9}

***

[8]
{"formula": "Sm5Te5Pb", "functional": "PBE", "state": "optimized geometry", "lattice_angstrom": [[7.0352, -3.1535, 0.0000], [7.0352, 3.1535, 0.0000], [-2.7911, 0.0000, 8.4401]], "species": ["Sm", "Sm", "Sm", "Sm", "Sm", "Te", "Te", "Te", "Te", "Te", "Pb"], "frac_coords": [[0.0000, 0.0000, 0.0000], [0.3361, 0.3361, 0.1707], [0.3357, 0.3357, 0.6667], [0.6643, 0.6643, 0.3333], [0.6639, 0.6639, 0.8293], [0.1646, 0.1646, 0.3369], [0.1662, 0.1662, 0.8306], [0.5000, 0.5000, 0.5000], [0.8338, 0.8338, 0.1694], [0.8354, 0.8354, 0.6631], [0.5000, 0.5000, 0.0000]], "e_form_raw_ev_per_atom": -1.300, "volume_a3_per_atom": 34.0}

***

no.,total DFT energy (no corrections) (eV/atom)
1,-5.255
2,-4.742
3,-4.698
4,-4.431
5,-4.894
6,-5.154
7,-4.745
8,-5.211